VASP calculation (PBE-GGA) on an optimized crystal structure of KLi2CaBe.

POSCAR file:
```
KLi2CaBe
1.0
5.117 0.000 0.000
0.000 5.117 0.000
0.000 0.000 6.437
K Li Ca Be
1 2 1 1
direct
0.000 0.000 0.000
0.000 0.500 0.000
0.500 0.000 0.000
0.000 0.000 0.500
0.500 0.500 0.500
```

Output
ρ   1.01 g/cm³
Formation energy from the elements   1.21 eV per atom
V   33.71 Å³/atom
Total magnetic moment   0.0 μB per formula unit

VASP calculation (PBE-GGA) on an optimized crystal structure of Ac2BeAl3Pt4.

POSCAR file:
```
Ac2BeAl3Pt4
1.0
4.407 0.000 0.000
0.000 4.407 0.000
0.000 0.000 10.289
Ac Be Al Pt
2 1 3 4
direct
0.000 0.500 0.244
0.500 0.000 0.756
0.500 0.500 0.000
0.000 0.000 0.000
0.000 0.500 0.624
0.500 0.000 0.376
0.000 0.000 0.500
0.000 0.500 0.879
0.500 0.000 0.121
0.500 0.500 0.500
```

Output
ρ   11.00 g/cm³
Formation energy from the elements   -0.97 eV per atom
V   19.99 Å³/atom
Total magnetic moment   0.0 μB per formula unit

VASP calculation (PBE-GGA) on an optimized crystal structure of LaTl3Os.

POSCAR file:
```
LaTl3Os
1.0
5.254 0.000 0.000
0.000 5.254 0.000
0.000 0.000 5.254
La Tl Os
1 3 1
direct
0.000 0.000 0.000
0.000 0.500 0.500
0.500 0.000 0.500
0.500 0.500 0.000
0.500 0.500 0.500
```

Output
ρ   10.79 g/cm³
Formation energy from the elements   0.32 eV per atom
V   29.00 Å³/atom
Total magnetic moment   0.0 μB per formula unit
E above lowest polymorph   0.000 eV/atom

VASP calculation (PBE-GGA) on an optimized crystal structure of Tb3Sm12Al5.

POSCAR file:
```
Tb3Sm12Al5
1.0
-9.075 9.075 9.075
9.075 -9.075 9.075
9.075 9.075 -9.075
Tb Sm Al
12 48 20
direct
0.125 0.250 0.375
0.125 0.375 0.750
0.250 0.375 0.125
0.250 0.875 0.625
0.375 0.125 0.250
0.375 0.750 0.125
0.625 0.250 0.875
0.625 0.875 0.750
0.750 0.125 0.375
0.750 0.625 0.875
0.875 0.625 0.250
0.875 0.750 0.625
0.044 0.214 0.117
0.044 0.330 0.927
0.073 0.617 0.403
0.073 0.956 0.670
0.097 0.714 0.670
0.097 0.883 0.427
0.117 0.044 0.214
0.117 0.573 0.903
0.170 0.214 0.597
0.170 0.456 0.573
0.214 0.117 0.044
0.214 0.597 0.170
0.286 0.330 0.903
0.286 0.456 0.383
0.330 0.903 0.286
0.330 0.927 0.044
0.383 0.286 0.456
0.383 0.597 0.927
0.403 0.073 0.617
0.403 0.830 0.786
0.427 0.097 0.883
0.427 0.830 0.544
0.456 0.383 0.286
0.456 0.573 0.170
0.544 0.427 0.830
0.544 0.617 0.714
0.573 0.170 0.456
0.573 0.903 0.117
0.597 0.170 0.214
0.597 0.927 0.383
0.617 0.403 0.073
0.617 0.714 0.544
0.670 0.073 0.956
0.670 0.097 0.714
0.714 0.544 0.617
0.714 0.670 0.097
0.786 0.403 0.830
0.786 0.883 0.956
0.830 0.544 0.427
0.830 0.786 0.403
0.883 0.427 0.097
0.883 0.956 0.786
0.903 0.117 0.573
0.903 0.286 0.330
0.927 0.044 0.330
0.927 0.383 0.597
0.956 0.670 0.073
0.956 0.786 0.883
0.000 0.000 0.000
0.000 0.000 0.500
0.000 0.500 0.000
0.000 0.500 0.500
0.125 0.750 0.875
0.125 0.875 0.250
0.250 0.125 0.875
0.250 0.625 0.375
0.375 0.250 0.625
0.375 0.625 0.750
0.500 0.000 0.000
0.500 0.000 0.500
0.500 0.500 0.000
0.500 0.500 0.500
0.625 0.375 0.250
0.625 0.750 0.375
0.750 0.375 0.625
0.750 0.875 0.125
0.875 0.125 0.750
0.875 0.250 0.125
```

Output
ρ   5.37 g/cm³
Formation energy from the elements   0.59 eV per atom
V   37.37 Å³/atom
Total magnetic moment   0.0 μB per formula unit

VASP calculation (PBE-GGA) on an optimized crystal structure of PuSn2As2Pd7.

POSCAR file:
```
PuSn2As2Pd7
1.0
2.836 -2.857 0.000
2.836 2.857 0.000
-1.415 0.000 14.806
Pu Sn As Pd
1 2 2 7
direct
0.000 0.000 0.000
0.129 0.129 0.412
0.871 0.871 0.588
0.436 0.436 0.752
0.564 0.564 0.248
0.039 0.538 0.149
0.386 0.386 0.585
0.462 0.961 0.851
0.500 0.500 0.000
0.538 0.039 0.149
0.614 0.614 0.415
0.961 0.462 0.851
```

Output
ρ   9.53 g/cm³
Formation energy from the elements   -0.36 eV per atom
V   19.99 Å³/atom
Total magnetic moment   5.0 μB per formula unit

VASP calculation (PBE-GGA) on an optimized crystal structure of Pr2YUAs4.

POSCAR file:
```
Pr2YUAs4
1.0
7.272 0.000 0.000
0.000 4.187 0.000
-2.388 0.000 6.885
Pr Y U As
2 1 1 4
direct
0.000 0.000 0.000
0.500 0.500 0.000
0.000 0.500 0.500
0.500 0.000 0.500
0.250 0.000 0.735
0.258 0.500 0.265
0.742 0.500 0.735
0.750 0.000 0.265
```

Output
ρ   7.20 g/cm³
Formation energy from the elements   -1.32 eV per atom
V   26.20 Å³/atom
Total magnetic moment   2.3 μB per formula unit

VASP calculation (PBE-GGA) on an optimized crystal structure of Y2HoPaP4.

POSCAR file:
```
Y2HoPaP4
1.0
6.901 0.000 0.000
0.000 3.997 0.000
-2.303 0.000 6.511
Y Ho Pa P
2 1 1 4
direct
0.000 0.000 0.000
0.500 0.500 0.000
0.000 0.500 0.500
0.500 0.000 0.500
0.252 0.000 0.745
0.253 0.500 0.254
0.747 0.500 0.746
0.748 0.000 0.255
```

Output
ρ   6.45 g/cm³
Formation energy from the elements   -1.55 eV per atom
V   22.45 Å³/atom
Total magnetic moment   0.0 μB per formula unit

VASP calculation (PBE-GGA) on an optimized crystal structure of Pa3Ge3Rh2.

POSCAR file:
```
Pa3Ge3Rh2
1.0
7.798 0.000 0.000
0.000 14.499 0.000
0.000 0.000 5.716
Pa Ge Rh
12 12 8
direct
0.034 0.107 0.121
0.034 0.393 0.121
0.174 0.250 0.631
0.326 0.750 0.131
0.466 0.607 0.621
0.466 0.893 0.621
0.534 0.107 0.379
0.534 0.393 0.379
0.674 0.250 0.869
0.826 0.750 0.369
0.966 0.607 0.879
0.966 0.893 0.879
0.186 0.750 0.639
0.192 0.038 0.594
0.192 0.462 0.594
0.308 0.538 0.094
0.308 0.962 0.094
0.314 0.250 0.139
0.686 0.750 0.861
0.692 0.038 0.906
0.692 0.462 0.906
0.808 0.538 0.406
0.808 0.962 0.406
0.814 0.250 0.361
0.099 0.614 0.374
0.099 0.886 0.374
0.401 0.114 0.874
0.401 0.386 0.874
0.599 0.614 0.126
0.599 0.886 0.126
0.901 0.114 0.626
0.901 0.386 0.626
```

Output
ρ   11.48 g/cm³
Formation energy from the elements   -0.69 eV per atom
V   20.19 Å³/atom
Total magnetic moment   0.0 μB per formula unit
E above lowest polymorph   0.033 eV/atom

VASP calculation (PBE-GGA) on an optimized crystal structure of Tb2PrBi3.

POSCAR file:
```
Tb2PrBi3
1.0
4.544 0.000 0.000
0.000 6.428 0.000
0.000 0.000 13.627
Tb Pr Bi
4 2 6
direct
0.000 0.000 0.165
0.000 0.000 0.835
0.500 0.500 0.335
0.500 0.500 0.665
0.000 0.000 0.500
0.500 0.500 0.000
0.000 0.500 0.172
0.000 0.500 0.500
0.000 0.500 0.828
0.500 0.000 0.000
0.500 0.000 0.328
0.500 0.000 0.672
```

Output
ρ   9.06 g/cm³
Formation energy from the elements   -0.90 eV per atom
V   33.17 Å³/atom
Total magnetic moment   0.0 μB per formula unit

VASP calculation (PBE-GGA) on an optimized crystal structure of ScTcS2.

POSCAR file:
```
ScTcS2
1.0
3.587 0.000 0.000
-1.794 3.107 0.000
0.000 0.000 23.007
Sc Tc S
3 3 6
direct
0.000 0.000 0.000
0.333 0.667 0.667
0.667 0.333 0.333
0.000 0.000 0.500
0.333 0.667 0.167
0.667 0.333 0.833
0.000 0.000 0.398
0.000 0.000 0.602
0.333 0.667 0.064
0.333 0.667 0.269
0.667 0.333 0.731
0.667 0.333 0.936
```

Output
ρ   4.02 g/cm³
Uncorrected formation energy   -0.5366 eV/atom
V   21.37 Å³/atom
Total magnetic moment   3.3 μB per formula unit
E above lowest polymorph   0.232 eV/atom

VASP calculation (PBE-GGA) on an optimized crystal structure of Li2BiB2O6.

POSCAR file:
```
Li2BiB2O6
1.0
8.596 0.000 0.000
0.000 6.444 0.000
-4.659 0.000 9.426
Li Bi B O
8 4 8 24
direct
0.093 0.216 0.489
0.093 0.284 0.989
0.325 0.730 0.545
0.325 0.770 0.045
0.675 0.230 0.955
0.675 0.270 0.455
0.907 0.716 0.011
0.907 0.784 0.511
0.308 0.032 0.292
0.308 0.468 0.792
0.692 0.532 0.208
0.692 0.968 0.708
0.030 0.650 0.805
0.030 0.850 0.305
0.438 0.191 0.108
0.438 0.309 0.608
0.562 0.691 0.392
0.562 0.809 0.892
0.970 0.150 0.695
0.970 0.350 0.195
0.071 0.674 0.693
0.071 0.826 0.193
0.119 0.213 0.688
0.119 0.287 0.188
0.157 0.552 0.926
0.157 0.948 0.426
0.292 0.070 0.062
0.292 0.430 0.562
0.468 0.732 0.247
0.468 0.768 0.747
0.493 0.210 0.518
0.493 0.290 0.018
0.507 0.710 0.982
0.507 0.790 0.482
0.532 0.232 0.253
0.532 0.268 0.753
0.708 0.570 0.438
0.708 0.930 0.938
0.843 0.052 0.574
0.843 0.448 0.074
0.881 0.713 0.812
0.881 0.787 0.312
0.929 0.174 0.807
0.929 0.326 0.307
```

Output
ρ   4.33 g/cm³
Uncorrected formation energy   -1.9552 eV/atom
V   11.87 Å³/atom
Total magnetic moment   0.0 μB per formula unit

VASP calculation (PBE-GGA) on an optimized crystal structure of CoGe2TeH.

POSCAR file:
```
CoGe2TeH
1.0
5.416 0.000 0.000
0.000 5.416 0.000
0.000 0.000 3.546
Co Ge Te H
1 2 1 1
direct
0.000 0.000 0.000
0.000 0.500 0.500
0.500 0.000 0.500
0.500 0.500 0.500
0.500 0.500 0.000
```

Output
ρ   5.31 g/cm³
Raw total energy   -3.552 eV/atom
V   20.80 Å³/atom
Total magnetic moment   1.8 μB per formula unit

> total magnetic moment of number 4 (Tb3Sm12Al5)?

0.0 μB per formula unit